This record from Alexandria via LeMat-Bulk describes a relaxed structure of TbPm2Ag5. The functional is PBE-GGA.

For the energy of formation from the pure elements, the calculation gives -0.214 eV per atom. The spin magnetization is 0.000 μB/cell.

The space group is I4/mmm (No. 139) and the conventional cell measures 5.132, 5.132 and 14.360 Å, with angles of 90.00, 90.00 and 90.00 degrees. The inequivalent atoms are Tb at (0.000, 0.000, 0.000), Pm at (0.000, 0.000, 0.269), Ag at (0.000, 0.000, 0.500) and Ag at (0.000, 0.500, 0.114).

---

This record from Alexandria via LeMat-Bulk describes a relaxed structure of Y5Zn4Ru. The functional is PBE-GGA.

For the energy of formation from the pure elements, the calculation gives -0.370 eV per atom. The spin magnetization is 0.000 μB/cell.

The space group is P4/mmm (No. 123) and the conventional cell measures 3.533, 3.533 and 17.901 Å, with angles of 90.00, 90.00 and 90.00 degrees. The inequivalent atoms are Y at (0.000, 0.000, 0.000), Y at (0.000, 0.000, 0.202), Y at (0.000, 0.000, 0.409), Zn at (0.500, 0.500, 0.101), Zn at (0.500, 0.500, 0.302) and Ru at (0.500, 0.500, 0.500).

---

This record from Alexandria via LeMat-Bulk describes a relaxed structure of CdAgW2. The functional is PBE-GGA.

For the energy of formation from the pure elements, the calculation gives 0.674 eV per atom. The spin magnetization is 0.000 μB/cell.

The space group is Cmmm (No. 65) and the conventional cell measures 3.474, 4.201 and 9.439 Å, with angles of 90.00, 90.00 and 90.00 degrees. The inequivalent atoms are Cd at (0.000, 0.000, 0.000), Ag at (0.000, 0.000, 0.500) and W at (0.000, 0.500, 0.254).

---

This record from Alexandria via LeMat-Bulk describes a relaxed structure of Sc2HgMoN. The functional is PBE-GGA.

The value obtained for the formation energy from raw total energies is -0.74 eV/atom. The spin magnetization is 0.000 μB/cell.

The space group is P4/mmm (No. 123) and the conventional cell measures 4.527, 4.527 and 4.045 Å, with angles of 90.00, 90.00 and 90.00 degrees. The inequivalent atoms are Sc at (0.000, 0.500, 0.000), Hg at (0.000, 0.000, 0.500), Mo at (0.500, 0.500, 0.500) and N at (0.500, 0.500, 0.000).

---

This record from Alexandria via LeMat-Bulk describes a relaxed structure of PmOsO6. The functional is PBE-GGA.

The value obtained for the formation energy from raw total energies is -1.42 eV/atom. The spin magnetization is 0.002 μB/cell.

The space group is C2/m (No. 12) and the conventional cell measures 5.978, 6.836 and 4.754 Å, with angles of 90.00, 100.13 and 90.00 degrees. The inequivalent atoms are Pm at (0.000, 0.000, 0.000), Os at (0.000, 0.500, 0.500), O at (0.109, 0.312, 0.776) and O at (0.218, 0.000, 0.612).

---

This record from Alexandria via LeMat-Bulk describes a relaxed structure of BeSiW4. The functional is PBE-GGA.

The value obtained for the formation energy from raw total energies is 0.91 eV/atom. The spin magnetization is 0.000 μB/cell.

The space group is F-43m (No. 216) and the conventional cell measures 7.398, 7.398 and 7.398 Å, with angles of 90.00, 90.00 and 90.00 degrees. The inequivalent atoms are Be at (0.000, 0.000, 0.000), Si at (0.250, 0.250, 0.750) and W at (0.126, 0.126, 0.374).

---

This record from Alexandria via LeMat-Bulk describes a relaxed structure of ZrGaSe. The functional is PBE-GGA.

The value obtained for the formation energy from raw total energies is -0.93 eV/atom. The spin magnetization is 0.000 μB/cell.

The space group is I4/mmm (No. 139) and the conventional cell measures 3.732, 3.732 and 16.770 Å, with angles of 90.00, 90.00 and 90.00 degrees. The inequivalent atoms are Zr at (0.000, 0.000, 0.134), Ga at (0.000, 0.500, 0.000) and Se at (0.000, 0.000, 0.310).

---

This record from Alexandria via LeMat-Bulk describes a relaxed structure of TlSn4Pb. The functional is PBE-GGA.

For the energy of formation from the pure elements, the calculation gives 0.040 eV per atom. The spin magnetization is 0.000 μB/cell.

The space group is C2/m (No. 12) and the conventional cell measures 8.649, 9.238 and 5.660 Å, with angles of 90.00, 130.03 and 90.00 degrees. The inequivalent atoms are Tl at (0.000, 0.000, 0.000), Sn at (0.241, 0.330, 0.243) and Pb at (0.000, 0.500, 0.500).